TiGa3Fe: relaxed, GGA-PBE.

Properties
As for the crystal system: cubic. The calculation puts the energy of formation from the pure elements at 258 meV/atom. The space-group type is Pm-3m (221).

The structure in extended XYZ format:
```
5
Lattice="-2.161 -1.453 3.709 3.981 -0.629 2.073 -0.150 4.246 1.577" Properties=species:S:1:pos:R:3 pbc="T T T"
Ga -1.080 -0.727 1.854
Ga 1.990 -0.315 1.036
Ga -0.075 2.123 0.788
Ti 0.835 1.081 3.679
Fe 0.000 0.000 0.000
```


BaMoBr6: relaxed, GGA-PBE.

Properties
As for the crystal system: triclinic. The uncorrected formation energy is -1.072 eV per atom. The space-group type is P-1 (2).

The structure in extended XYZ format:
```
8
Lattice="-2.288 6.313 2.274 -6.494 0.624 2.805 -0.497 1.070 7.571" Properties=species:S:1:pos:R:3 pbc="T T T"
Br -6.895 2.064 4.883
Br -2.384 5.943 7.767
Br -2.746 4.187 3.623
Br -6.533 3.821 9.027
Br -6.286 6.785 5.630
Br -2.993 1.223 7.020
Mo 0.000 0.000 0.000
Ba -4.639 4.004 6.325
```


PuSnSe: relaxed, GGA-PBE.

Properties
As for the crystal system: trigonal. The uncorrected formation energy is -0.723 eV per atom. The space-group type is P-3m1 (164).

The structure in extended XYZ format:
```
6
Lattice="-2.091 3.179 -2.284 -1.751 -4.070 0.249 -5.542 2.946 9.174" Properties=species:S:1:pos:R:3 pbc="T T T"
Sn -7.070 1.113 8.022
Sn -2.314 0.941 -0.883
Pu -1.317 0.700 2.180
Pu -4.225 2.246 6.994
Se -3.781 -0.635 2.577
Se -5.603 2.690 4.562
```


Ni2AgCl: relaxed, GGA-PBE.

Properties
As for the crystal system: monoclinic. The uncorrected formation energy is 0.233 eV per atom. The space-group type is P2/m (10).

The structure in extended XYZ format:
```
4
Lattice="-0.846 0.805 -2.680 3.238 -1.340 -1.425 -2.633 -5.460 -0.809" Properties=species:S:1:pos:R:3 pbc="T T T"
Ni 1.247 -3.463 -1.434
Ni 2.293 -1.278 -1.108
Cl 0.031 -4.698 -3.015
Ag -0.272 -1.298 -1.898
```


MnReAs2: relaxed, GGA-PBE.

Properties
As for the crystal system: orthorhombic. The calculation puts the energy of formation from the pure elements at 453 meV/atom. The space-group type is Pmmm (47).

The structure in extended XYZ format:
```
4
Lattice="-1.401 2.521 1.402 -3.641 -2.912 1.598 2.042 -0.721 3.339" Properties=species:S:1:pos:R:3 pbc="T T T"
As 0.000 0.000 0.000
As -2.521 -0.195 1.500
Mn 0.320 0.900 2.371
Re -0.799 -1.816 2.468
```


Y2MnPt: relaxed, GGA-PBE.

Properties
As for the crystal system: tetragonal. The calculation puts the energy of formation from the pure elements at 208 meV/atom. The space-group type is I-42d (122).

The structure in extended XYZ format:
```
8
Lattice="4.487 0.000 0.000 0.000 4.487 0.000 2.243 2.243 9.632" Properties=species:S:1:pos:R:3 pbc="T T T"
Y 3.402 1.122 2.408
Y 1.085 3.365 2.408
Y 5.608 5.645 7.224
Y 3.365 3.328 7.224
Pt 0.000 0.000 0.000
Pt 4.487 2.243 4.816
Mn 2.243 4.487 4.816
Mn 2.243 2.243 0.000
```